Arrangement one

VASP calculation (SCAN) on a PBEsol-optimized structure of Li5Mn3O8.

Structure (CIF):
```
data_Li5Mn3O8
_cell_length_a 4.8753
_cell_length_b 5.6303
_cell_length_c 4.9813
_cell_angle_alpha 90.00
_cell_angle_beta 109.00
_cell_angle_gamma 90.00
_symmetry_space_group_name_H-M 'P 1 2/m 1'
_symmetry_Int_Tables_number 10
loop_
_symmetry_equiv_pos_as_xyz
'x,y,z'
'-x,-y,-z'
'-x,y,-z'
'x,-y,z'
loop_
_atom_site_label
_atom_site_fract_x
_atom_site_fract_y
_atom_site_fract_z
Li1 0.0000 0.0000 0.0000
Li2 0.0000 0.2372 0.5000
Li3 0.5000 0.0000 0.5000
Li4 0.5000 0.5000 0.5000
Mn1 0.0000 0.5000 0.0000
Mn2 0.5000 0.2433 0.0000
O1 0.2508 0.2639 0.2244
O2 0.2550 0.5000 0.7782
O3 0.2760 0.0000 0.7672
```


Arrangement two

VASP calculation (SCAN) on a PBEsol-optimized structure of Li5Mn3O8.

Structure (CIF):
```
data_Li5Mn3O8
_cell_length_a 4.9935
_cell_length_b 2.8143
_cell_length_c 9.5440
_cell_angle_alpha 90.00
_cell_angle_beta 101.07
_cell_angle_gamma 90.00
_symmetry_space_group_name_H-M 'P 1 2/m 1'
_symmetry_Int_Tables_number 10
loop_
_symmetry_equiv_pos_as_xyz
'x,y,z'
'-x,-y,-z'
'-x,y,-z'
'x,-y,z'
loop_
_atom_site_label
_atom_site_fract_x
_atom_site_fract_y
_atom_site_fract_z
Li1 0.0000 0.0000 0.0000
Li2 0.0000 0.5000 0.5000
Li3 0.2442 0.0000 0.7584
Li4 0.5000 0.5000 0.0000
Mn1 0.2405 0.5000 0.2414
Mn2 0.5000 0.0000 0.5000
O1 0.0944 0.5000 0.8615
O2 0.1537 0.0000 0.3725
O3 0.3683 0.0000 0.1387
O4 0.3957 0.5000 0.6158
```


Arrangement three

VASP calculation (SCAN) on a PBEsol-optimized structure of Li5Mn3O8.

Structure (CIF):
```
data_Li5Mn3O8
_cell_length_a 5.6215
_cell_length_b 5.6215
_cell_length_c 14.1134
_cell_angle_alpha 90.00
_cell_angle_beta 90.00
_cell_angle_gamma 120.00
_symmetry_space_group_name_H-M 'R -3 m'
_symmetry_Int_Tables_number 166
_symmetry_space_group_name_Hall '-R 3 2"'
loop_
_atom_site_label
_atom_site_fract_x
_atom_site_fract_y
_atom_site_fract_z
Li1 0.0000 0.0000 0.0000
Li2 0.0000 0.0000 0.5000
Li3 0.0000 0.5000 0.0000
Mn1 0.0000 0.5000 0.5000
O1 0.0000 0.0000 0.2415
O2 0.0158 0.5079 0.7582
```


Structures ranked by computed energy, the most stable listed first: arrangement one, arrangement three, arrangement two.


Arrangement one

VASP calculation (SCAN) on a PBEsol-optimized structure of LiMn4O8.

Structure (CIF):
```
data_LiMn4O8
_cell_length_a 5.5993
_cell_length_b 9.4462
_cell_length_c 9.2270
_cell_angle_alpha 90.00
_cell_angle_beta 90.00
_cell_angle_gamma 90.00
_symmetry_space_group_name_H-M 'C m c 21'
_symmetry_Int_Tables_number 36
loop_
_symmetry_equiv_pos_as_xyz
'x,y,z'
'-x,-y,z+1/2'
'-x,y,z'
'x,-y,z+1/2'
'x+1/2,y+1/2,z'
'-x+1/2,-y+1/2,z+1/2'
'-x+1/2,y+1/2,z'
'x+1/2,-y+1/2,z+1/2'
loop_
_atom_site_label
_atom_site_fract_x
_atom_site_fract_y
_atom_site_fract_z
Li1 0.0000 0.1280 0.0000
Mn1 0.0000 0.1385 0.4402
Mn2 0.0000 0.3828 0.9427
Mn3 0.2503 0.1213 0.7145
O1 0.0000 0.0269 0.6187
O2 0.0000 0.2278 0.8012
O3 0.0000 0.2660 0.2872
O4 0.0000 0.4804 0.1211
O5 0.2429 0.0129 0.3695
O6 0.2448 0.2720 0.0379
```


Arrangement two

VASP calculation (SCAN) on a PBEsol-optimized structure of LiMn4O8.

Structure (CIF):
```
data_LiMn4O8
_cell_length_a 5.6975
_cell_length_b 5.6975
_cell_length_c 13.8743
_cell_angle_alpha 90.00
_cell_angle_beta 90.00
_cell_angle_gamma 120.00
_symmetry_space_group_name_H-M 'R -3 m'
_symmetry_Int_Tables_number 166
_symmetry_space_group_name_Hall '-R 3 2"'
loop_
_atom_site_label
_atom_site_fract_x
_atom_site_fract_y
_atom_site_fract_z
Li1 0.0000 0.0000 0.0000
Mn1 0.0000 0.0000 0.5000
Mn2 0.0000 0.5000 0.0000
O1 0.0000 0.0000 0.2639
O2 0.0321 0.5161 0.2563
```


Arrangement three

VASP calculation (SCAN) on a PBEsol-optimized structure of LiMn4O8.

Structure (CIF):
```
data_LiMn4O8
_cell_length_a 8.0329
_cell_length_b 8.0329
_cell_length_c 8.0329
_cell_angle_alpha 90.00
_cell_angle_beta 90.00
_cell_angle_gamma 90.00
_symmetry_space_group_name_H-M 'F -4 3 m'
_symmetry_Int_Tables_number 216
_symmetry_space_group_name_Hall 'F -4 2 3'
loop_
_atom_site_label
_atom_site_fract_x
_atom_site_fract_y
_atom_site_fract_z
Li1 0.0000 0.0000 0.0000
Mn1 0.1238 0.1238 0.3762
O1 0.1110 0.1110 0.6110
O2 0.1381 0.1381 0.1381
```


Structures ranked by computed energy, the most stable listed first: arrangement three, arrangement one, arrangement two.